(1)
## K3PrEr2Te6 (GGA-PBE)

Data for crystalline K3PrEr2Te6 at its relaxed geometry.

Unit cell a=7.8449 b=7.8449 c=8.6522 alpha=98.71 beta=98.71 gamma=120.01
Last column: nearest neighbours and their distance in Å.
Fractional coordinates of all 12 atoms:
K1 0.0000 0.0000 0.0000  6 Te 3.49-3.57
K2 0.3364 0.6636 0.0000  6 Te 3.51-3.58
K3 0.6636 0.3364 0.0000  6 Te 3.51-3.58
Pr1 0.5000 0.5000 0.5000  6 Te 3.20-3.21
Er1 0.1671 0.8329 0.5000  6 Te 3.10
Er2 0.8329 0.1671 0.5000  6 Te 3.10
Te1 0.0856 0.4298 0.2900  2 Er 3.10, 1 Pr 3.21
Te2 0.2255 0.2255 0.7091  2 Er 3.10, 1 Pr 3.20
Te3 0.4298 0.0856 0.2900  2 Er 3.10, 1 Pr 3.21
Te4 0.5702 0.9144 0.7100  2 Er 3.10, 1 Pr 3.21
Te5 0.7745 0.7745 0.2909  2 Er 3.10, 1 Pr 3.20
Te6 0.9144 0.5702 0.7100  2 Er 3.10, 1 Pr 3.21

Output
Its crystal system is monoclinic. The value obtained for the formation energy (no corrections) is -32.085 kcal/mol of atoms.

---

(2)
## Li2Pr5Sn5 (GGA-PBE)

Data for crystalline Li2Pr5Sn5 at its relaxed geometry.

Unit cell a=6.5855 b=6.5855 c=12.8677 alpha=112.83 beta=112.83 gamma=42.26
Last column: nearest neighbours and their distance in Å.
Fractional coordinates of all 12 atoms:
Li1 0.1986 0.1986 0.2574  3 Sn 2.72
Li2 0.8014 0.8014 0.7426  3 Sn 2.72
Pr1 0.1123 0.1123 0.7709  5 Sn 3.31-3.40, 3 Li 3.45-3.68, 1 Pr 3.56
Pr2 0.1538 0.1538 0.4871  5 Sn 3.08-3.43, 1 Li 3.22, 2 Pr 3.27
Pr3 0.5000 0.5000 0.0000  6 Sn 3.28-3.40
Pr4 0.8462 0.8462 0.5129  5 Sn 3.08-3.43, 1 Li 3.22, 2 Pr 3.27
Pr5 0.8877 0.8877 0.2291  5 Sn 3.31-3.40, 3 Li 3.45-3.68, 1 Pr 3.56
Sn1 0.2142 0.2142 0.0525  1 Li 2.72, 2 Sn 3.04
Sn2 0.3984 0.3984 0.7202  2 Li 2.72
Sn3 0.5000 0.5000 0.5000  4 Pr 3.08
Sn4 0.6016 0.6016 0.2798  2 Li 2.72
Sn5 0.7858 0.7858 0.9475  1 Li 2.72, 2 Sn 3.04

Output
The energy of formation from the pure elements is -0.549 eV per atom. Its crystal system is monoclinic.

---

(3)
## Ca2NbRh2 (GGA-PBE)

Data for crystalline Ca2NbRh2 at its relaxed geometry.

Unit cell a=4.7538 b=4.7538 c=4.8460 alpha=90.00 beta=90.00 gamma=90.00
Last column: nearest neighbours and their distance in Å.
Fractional coordinates of all 5 atoms:
Ca1 0.0000 0.0000 0.0000  2 Ca 2.42
Ca2 0.0000 0.0000 0.5000  4 Rh 2.38, 2 Ca 2.42
Nb1 0.5000 0.5000 0.0000  4 Ca 3.36, 8 Rh 3.39
Rh1 0.0000 0.5000 0.5000  2 Ca 2.38
Rh2 0.5000 0.0000 0.5000  2 Ca 2.38

Output
The energy of formation from the pure elements is 1.360 eV per atom. Its crystal system is tetragonal.

---

Which magnetic moment belongs to each record? In order, 0.00, 0.00, 0.00 μB per formula unit.